Here is a geometry-optimized ThGaSi structure from Alexandria via LeMat-Bulk. Energies are from PBE-GGA.

Calculated values
- formation energy from raw total energies (kcal/mol of atoms) = -13.25
- magnetization (μB per cell) = 0.00
- DFT total energy (Ry per atom) = -0.431
- volume (Å³/atom) = 21.5
- crystal system = hexagonal

abc: 4.194 4.194 12.718
angles: 90.00 90.00 120.00
Fractional coordinates of all 9 atoms:
1 Th 0.000 0.000 0.000
2 Th 0.000 0.000 0.667
3 Th 0.000 0.000 0.333
4 Ga 0.667 0.333 0.166
5 Ga 0.667 0.333 0.834
6 Ga 0.333 0.667 0.500
7 Si 0.333 0.667 0.168
8 Si 0.333 0.667 0.832
9 Si 0.667 0.333 0.500

---

Here is a geometry-optimized ThGaSi structure from Alexandria via LeMat-Bulk. Energies are from PBE-GGA.

Calculated values
- formation energy from raw total energies (kcal/mol of atoms) = -13.65
- magnetization (μB per cell) = 0.00
- DFT total energy (Ry per atom) = -0.432
- volume (Å³/atom) = 21.5
- crystal system = tetragonal

abc: 4.206 4.206 7.877
angles: 105.49 105.49 90.00
Fractional coordinates of all 6 atoms:
1 Th 0.250 0.750 0.500
2 Th 0.500 0.500 0.000
3 Ga 0.834 0.334 0.669
4 Ga 0.666 0.166 0.331
5 Si 0.918 0.918 0.837
6 Si 0.082 0.082 0.163

---

Here is a geometry-optimized Th2Ga2Si structure from Alexandria via LeMat-Bulk. Energies are from PBE-GGA.

Calculated values
- formation energy from raw total energies (kcal/mol of atoms) = -13.47
- magnetization (μB per cell) = 0.00
- DFT total energy (Ry per atom) = -0.430
- volume (Å³/atom) = 23.3
- crystal system = monoclinic

abc: 4.213 5.964 10.178
angles: 81.50 78.05 69.32
Fractional coordinates of all 10 atoms:
1 Th 0.707 0.232 0.355
2 Th 0.900 0.299 0.902
3 Th 0.293 0.768 0.645
4 Th 0.100 0.701 0.098
5 Ga 0.037 0.337 0.589
6 Ga 0.631 0.859 0.879
7 Ga 0.963 0.663 0.411
8 Ga 0.369 0.141 0.121
9 Si 0.562 0.184 0.691
10 Si 0.438 0.816 0.309

---

Here is a geometry-optimized ThGaSi structure from Alexandria via LeMat-Bulk. Energies are from PBE-GGA.

Calculated values
- formation energy from raw total energies (kcal/mol of atoms) = -13.24
- magnetization (μB per cell) = 0.00
- DFT total energy (Ry per atom) = -0.431
- volume (Å³/atom) = 21.5
- crystal system = trigonal

abc: 4.236 4.197 4.197
angles: 120.00 90.00 90.00
Fractional coordinates of all 3 atoms:
1 Si 0.173 0.333 0.667
2 Ga 0.160 0.000 0.000
3 Th 0.667 0.667 0.333

---

Here is a geometry-optimized ThGaSi structure from Alexandria via LeMat-Bulk. Energies are from PBE-GGA.

Calculated values
- formation energy from raw total energies (kcal/mol of atoms) = -4.23
- magnetization (μB per cell) = 0.00
- DFT total energy (Ry per atom) = -0.402
- volume (Å³/atom) = 24.1
- crystal system = tetragonal

abc: 4.169 4.169 5.101
angles: 114.11 114.11 90.00
Fractional coordinates of all 3 atoms:
1 Si 0.261 0.261 0.521
2 Ga 0.971 0.971 0.941
3 Th 0.619 0.619 0.238

---

Here is a geometry-optimized ThGa2Si structure from Alexandria via LeMat-Bulk. Energies are from PBE-GGA.

Calculated values
- formation energy from raw total energies (kcal/mol of atoms) = -5.46
- magnetization (μB per cell) = 0.00
- DFT total energy (Ry per atom) = -0.365
- volume (Å³/atom) = 21.0
- crystal system = trigonal
- ΔE to the lowest computed polymorph (meV/atom) = 171

abc: 4.393 4.393 5.636
angles: 67.06 67.06 60.00
Fractional coordinates of all 4 atoms:
1 Si 0.000 0.000 0.000
2 Ga 0.713 0.713 0.860
3 Ga 0.287 0.287 0.140
4 Th 0.500 0.500 0.500

---

Here is a geometry-optimized ThGa2Si structure from Alexandria via LeMat-Bulk. Energies are from PBE-GGA.

Calculated values
- formation energy from raw total energies (kcal/mol of atoms) = -9.40
- magnetization (μB per cell) = 0.00
- DFT total energy (Ry per atom) = -0.377
- volume (Å³/atom) = 21.0
- crystal system = tetragonal
- ΔE to the lowest computed polymorph (meV/atom) = 0

abc: 4.560 4.288 4.288
angles: 90.00 90.00 90.00
Fractional coordinates of all 4 atoms:
1 Si 0.500 0.500 0.500
2 Ga 0.000 0.000 0.500
3 Ga 0.000 0.500 0.000
4 Th 0.500 0.000 0.000

---

Here is a geometry-optimized TiGaSi3 structure from Alexandria via LeMat-Bulk. Energies are from PBE-GGA.

Calculated values
- formation energy from raw total energies (kcal/mol of atoms) = 24.96
- magnetization (μB per cell) = 0.00
- DFT total energy (Ry per atom) = -0.320
- volume (Å³/atom) = 20.3
- crystal system = cubic
- ΔE to the lowest computed polymorph (meV/atom) = 563

abc: 4.667 4.667 4.667
angles: 90.00 90.00 90.00
Fractional coordinates of all 5 atoms:
1 Si 0.000 0.500 0.000
2 Si 0.000 0.000 0.500
3 Si 0.500 0.000 0.000
4 Ga 0.000 0.000 0.000
5 Ti 0.500 0.500 0.500